# 1
La8Nd6Dy | PBE-GGA | relaxed

Results
DOS(E_F) (states/eV per atom): 1.604
Spin magnetization (Bohr magnetons per cell): 0.0
Energy of formation from the pure elements (eV/atom): 0.115
SG: R-3

Lattice parameters (Å, degrees): 8.479 8.479 8.479 72.16 72.16 72.16
Fractional coordinates of all 15 atoms:
La: 0.052 0.378 0.864
La: 0.136 0.948 0.622
La: 0.235 0.235 0.235
La: 0.378 0.864 0.052
La: 0.622 0.136 0.948
La: 0.765 0.765 0.765
La: 0.864 0.052 0.378
La: 0.948 0.622 0.136
Nd: 0.172 0.619 0.431
Nd: 0.381 0.569 0.828
Nd: 0.431 0.172 0.619
Nd: 0.569 0.828 0.381
Nd: 0.619 0.431 0.172
Nd: 0.828 0.381 0.569
Dy: 0.000 0.000 0.000

=====

# 2
LaNd2Dy | PBE-GGA | relaxed

Results
DOS(E_F) (states/eV per atom): 2.401
Spin magnetization (Bohr magnetons per cell): 1.4
Energy of formation from the pure elements (eV/atom): 0.145
SG: Fm-3m

Lattice parameters (Å, degrees): 5.835 5.835 5.835 60.00 60.00 60.00
Fractional coordinates of all 4 atoms:
La: 0.000 0.000 0.000
Nd: 0.250 0.250 0.250
Nd: 0.750 0.750 0.750
Dy: 0.500 0.500 0.500

=====

# 3
La6Nd2Dy5 | PBE-GGA | relaxed

Results
DOS(E_F) (states/eV per atom): 1.439
Spin magnetization (Bohr magnetons per cell): 0.0
Energy of formation from the pure elements (eV/atom): 0.109
SG: Pbam

Lattice parameters (Å, degrees): 12.005 20.808 3.670 90.00 90.00 90.00
Fractional coordinates of all 26 atoms:
La: 0.050 0.078 0.000
La: 0.076 0.364 0.000
La: 0.182 0.626 0.500
La: 0.318 0.126 0.500
La: 0.424 0.864 0.000
La: 0.450 0.578 0.000
La: 0.550 0.422 0.000
La: 0.576 0.136 0.000
La: 0.682 0.874 0.500
La: 0.818 0.374 0.500
La: 0.924 0.636 0.000
La: 0.950 0.922 0.000
Nd: 0.166 0.785 0.000
Nd: 0.334 0.285 0.000
Nd: 0.666 0.715 0.000
Nd: 0.834 0.215 0.000
Dy: 0.000 0.500 0.500
Dy: 0.094 0.223 0.500
Dy: 0.205 0.943 0.500
Dy: 0.295 0.443 0.500
Dy: 0.406 0.723 0.500
Dy: 0.500 0.000 0.500
Dy: 0.594 0.277 0.500
Dy: 0.705 0.557 0.500
Dy: 0.795 0.057 0.500
Dy: 0.906 0.777 0.500

=====

# 4
La7Nd2Dy | PBE-GGA | relaxed

Results
DOS(E_F) (states/eV per atom): 1.758
Spin magnetization (Bohr magnetons per cell): 0.2
Energy of formation from the pure elements (eV/atom): 0.555
SG: Cmmm

Lattice parameters (Å, degrees): 9.342 9.342 5.628 90.00 90.00 122.43
Fractional coordinates of all 10 atoms:
La: 0.000 0.000 0.000
La: 0.200 0.426 0.000
La: 0.260 0.740 0.500
La: 0.426 0.200 0.000
La: 0.574 0.800 0.000
La: 0.740 0.260 0.500
La: 0.800 0.574 0.000
Nd: 0.201 0.799 0.000
Nd: 0.799 0.201 0.000
Dy: 0.500 0.500 0.500

=====

# 5
La2NdDy5 | PBE-GGA | relaxed

Results
DOS(E_F) (states/eV per atom): 1.590
Spin magnetization (Bohr magnetons per cell): 0.0
Energy of formation from the pure elements (eV/atom): 0.027
SG: Pbam

Lattice parameters (Å, degrees): 7.205 14.423 5.136 90.00 90.00 90.00
Fractional coordinates of all 16 atoms:
La: 0.246 0.126 0.000
La: 0.254 0.626 0.000
La: 0.746 0.374 0.000
La: 0.754 0.874 0.000
Nd: 0.000 0.500 0.500
Nd: 0.500 0.000 0.500
Dy: 0.000 0.000 0.500
Dy: 0.005 0.751 0.500
Dy: 0.246 0.375 0.000
Dy: 0.254 0.875 0.000
Dy: 0.495 0.251 0.500
Dy: 0.500 0.500 0.500
Dy: 0.505 0.749 0.500
Dy: 0.746 0.125 0.000
Dy: 0.754 0.625 0.000
Dy: 0.995 0.249 0.500

=====

# 6
La3Nd5Dy | PBE-GGA | relaxed

Results
DOS(E_F) (states/eV per atom): 1.654
Spin magnetization (Bohr magnetons per cell): 0.0
Energy of formation from the pure elements (eV/atom): 0.386
SG: C2/m

Lattice parameters (Å, degrees): 7.476 7.476 13.282 102.12 102.12 71.11
Fractional coordinates of all 18 atoms:
La: 0.000 0.000 0.000
La: 0.000 0.000 0.500
La: 0.274 0.274 0.548
La: 0.435 0.435 0.790
La: 0.565 0.565 0.210
La: 0.726 0.726 0.452
Nd: 0.031 0.652 0.221
Nd: 0.265 0.265 0.043
Nd: 0.315 0.685 0.000
Nd: 0.348 0.969 0.779
Nd: 0.425 0.425 0.382
Nd: 0.575 0.575 0.618
Nd: 0.652 0.031 0.221
Nd: 0.685 0.315 0.000
Nd: 0.735 0.735 0.957
Nd: 0.969 0.348 0.779
Dy: 0.126 0.126 0.266
Dy: 0.874 0.874 0.734

=====

# 7
La12NdDy7 | PBE-GGA | relaxed

Results
DOS(E_F) (states/eV per atom): 1.352
Spin magnetization (Bohr magnetons per cell): 0.0
Energy of formation from the pure elements (eV/atom): 0.203
SG: R-3

Lattice parameters (Å, degrees): 11.527 11.527 11.527 116.67 116.67 116.67
Fractional coordinates of all 20 atoms:
La: 0.000 0.408 0.592
La: 0.000 0.592 0.408
La: 0.069 0.069 0.425
La: 0.069 0.425 0.069
La: 0.408 0.000 0.592
La: 0.408 0.592 0.000
La: 0.425 0.069 0.069
La: 0.575 0.931 0.931
La: 0.592 0.000 0.408
La: 0.592 0.408 0.000
La: 0.931 0.575 0.931
La: 0.931 0.931 0.575
Nd: 0.500 0.500 0.500
Dy: 0.000 0.000 0.000
Dy: 0.135 0.385 0.384
Dy: 0.384 0.135 0.385
Dy: 0.385 0.384 0.135
Dy: 0.615 0.616 0.865
Dy: 0.616 0.865 0.615
Dy: 0.865 0.615 0.616

=====

# 8
La16Nd7Dy6 | PBE-GGA | relaxed

Results
DOS(E_F) (states/eV per atom): 1.361
Spin magnetization (Bohr magnetons per cell): 0.0
Energy of formation from the pure elements (eV/atom): 0.201
SG: Fm-3m

Lattice parameters (Å, degrees): 11.541 11.541 11.541 60.00 60.00 60.00
Fractional coordinates of all 29 atoms:
La: 0.046 0.651 0.651
La: 0.125 0.125 0.125
La: 0.125 0.125 0.625
La: 0.125 0.625 0.125
La: 0.349 0.349 0.349
La: 0.349 0.349 0.954
La: 0.349 0.954 0.349
La: 0.375 0.875 0.875
La: 0.625 0.125 0.125
La: 0.651 0.046 0.651
La: 0.651 0.651 0.046
La: 0.651 0.651 0.651
La: 0.875 0.375 0.875
La: 0.875 0.875 0.375
La: 0.875 0.875 0.875
La: 0.954 0.349 0.349
Nd: 0.000 0.000 0.000
Nd: 0.000 0.000 0.500
Nd: 0.000 0.500 0.000
Nd: 0.000 0.500 0.500
Nd: 0.500 0.000 0.000
Nd: 0.500 0.000 0.500
Nd: 0.500 0.500 0.000
Dy: 0.263 0.263 0.737
Dy: 0.263 0.737 0.263
Dy: 0.263 0.737 0.737
Dy: 0.737 0.263 0.263
Dy: 0.737 0.263 0.737
Dy: 0.737 0.737 0.263